# 1
A PBEsol-optimized structure of CuH20S2N2O14, computed with SCAN.

Results
density of states at the Fermi level = 0.0 states/eV per cell
energy = -6.430 eV per atom
crystal system = monoclinic

The structure in CIF format:
```
data_CuH20S2N2O14
_chemical_formula_sum 'Cu2 H40 S4 N4 O28'
_symmetry_space_group_name_H-M 'P 1 21/c 1'
_symmetry_Int_Tables_number 14
_symmetry_space_group_name_Hall '-P 2ybc'
_cell_length_a 6.4890
_cell_length_b 11.8226
_cell_length_c 9.0257
_cell_angle_alpha 90.00
_cell_angle_beta 104.25
_cell_angle_gamma 90.00
loop_
_atom_site_label
_atom_site_type_symbol
_atom_site_fract_x
_atom_site_fract_y
_atom_site_fract_z
Cu1 Cu 0.0000 0.0000 0.0000
H1 H 0.0223 0.1895 0.1435
H2 H 0.0749 0.0902 0.2695
H3 H 0.1166 0.6249 0.7735
H4 H 0.1796 0.6532 0.0275
H5 H 0.2915 0.7412 0.1706
H6 H 0.3012 0.1451 0.0140
H7 H 0.3018 0.0564 0.8793
H8 H 0.3414 0.5867 0.7412
H9 H 0.3589 0.5965 0.1760
H10 H 0.4390 0.6878 0.0532
S1 S 0.2565 0.1288 0.5828
N1 N 0.3204 0.6690 0.1100
O1 O 0.0147 0.6095 0.3356
O2 O 0.0588 0.1737 0.6199
O3 O 0.2030 0.0584 0.4441
O4 O 0.2026 0.6239 0.6966
O5 O 0.2684 0.0643 0.9816
O6 O 0.3765 0.0590 0.7143
O7 O 0.3906 0.2269 0.5623
```

# 2
A PBEsol-optimized structure of LaAl2Ag3, computed with SCAN.

Results
density of states at the Fermi level = 3.1 states/eV per cell
energy = -25.813 eV per atom
crystal system = hexagonal

The structure in CIF format:
```
data_LaAl2Ag3
_chemical_formula_sum 'La1 Al2 Ag3'
_symmetry_space_group_name_H-M 'P 6/m m m'
_symmetry_Int_Tables_number 191
_symmetry_space_group_name_Hall '-P 6 2'
_cell_length_a 5.6901
_cell_length_b 5.6901
_cell_length_c 4.2027
_cell_angle_alpha 90.00
_cell_angle_beta 90.00
_cell_angle_gamma 120.00
loop_
_atom_site_label
_atom_site_type_symbol
_atom_site_fract_x
_atom_site_fract_y
_atom_site_fract_z
La1 La 0.0000 0.0000 0.0000
Al1 Al 0.3333 0.6667 0.0000
Ag1 Ag 0.0000 0.5000 0.5000
```

# 3
A PBEsol-optimized structure of RhWSN2, computed with SCAN.

Results
density of states at the Fermi level = 3.6 states/eV per cell
energy = -24.759 eV per atom
crystal system = tetragonal
E_form (uncorrected) = 152 kJ per mole of atoms

The structure in CIF format:
```
data_RhWSN2
_chemical_formula_sum 'Rh1 W1 S1 N2'
_symmetry_space_group_name_H-M 'P 4/m m m'
_symmetry_Int_Tables_number 123
_symmetry_space_group_name_Hall '-P 4 2'
_cell_length_a 3.7567
_cell_length_b 3.7567
_cell_length_c 4.6625
_cell_angle_alpha 90.00
_cell_angle_beta 90.00
_cell_angle_gamma 90.00
loop_
_atom_site_label
_atom_site_type_symbol
_atom_site_fract_x
_atom_site_fract_y
_atom_site_fract_z
Rh1 Rh 0.0000 0.0000 0.0000
W1 W 0.5000 0.5000 0.5000
S1 S 0.0000 0.0000 0.5000
N1 N 0.0000 0.5000 0.0000
```

# 4
A PBEsol-optimized structure of CaMg2Ag, computed with SCAN.

Results
density of states at the Fermi level = 2.3 states/eV per cell
energy = -12.832 eV per atom
crystal system = monoclinic

The structure in CIF format:
```
data_CaMg2Ag
_chemical_formula_sum 'Ca1 Mg2 Ag1'
_symmetry_space_group_name_H-M 'P 1 2/m 1'
_symmetry_Int_Tables_number 10
_symmetry_space_group_name_Hall '-P 2y'
_cell_length_a 3.5148
_cell_length_b 4.8573
_cell_length_c 5.8112
_cell_angle_alpha 90.00
_cell_angle_beta 102.66
_cell_angle_gamma 90.00
loop_
_atom_site_label
_atom_site_type_symbol
_atom_site_fract_x
_atom_site_fract_y
_atom_site_fract_z
Ca1 Ca 0.0000 0.0000 0.0000
Mg1 Mg 0.3516 0.5000 0.7193
Ag1 Ag 0.5000 0.0000 0.5000
```

# 5
A PBEsol-optimized structure of CaTmHg2, computed with SCAN.

Results
density of states at the Fermi level = 8.9 states/eV per cell
energy = -50.169 eV per atom
crystal system = cubic

The structure in CIF format:
```
data_CaTmHg2
_chemical_formula_sum 'Ca4 Tm4 Hg8'
_symmetry_space_group_name_H-M 'F m -3 m'
_symmetry_Int_Tables_number 225
_symmetry_space_group_name_Hall '-F 4 2 3'
_cell_length_a 7.2887
_cell_length_b 7.2887
_cell_length_c 7.2887
_cell_angle_alpha 90.00
_cell_angle_beta 90.00
_cell_angle_gamma 90.00
loop_
_atom_site_label
_atom_site_type_symbol
_atom_site_fract_x
_atom_site_fract_y
_atom_site_fract_z
Ca1 Ca 0.0000 0.0000 0.0000
Tm1 Tm 0.0000 0.0000 0.5000
Hg1 Hg 0.2500 0.2500 0.2500
```

# 6
A PBEsol-optimized structure of BaCu2Cl, computed with SCAN.

Results
density of states at the Fermi level = 1.1 states/eV per cell
energy = -19.808 eV per atom
crystal system = tetragonal
E_form (uncorrected) = -31 kJ per mole of atoms

The structure in CIF format:
```
data_BaCu2Cl
_chemical_formula_sum 'Ba1 Cu2 Cl1'
_symmetry_space_group_name_H-M 'P 4/m m m'
_symmetry_Int_Tables_number 123
_symmetry_space_group_name_Hall '-P 4 2'
_cell_length_a 4.1194
_cell_length_b 4.1194
_cell_length_c 5.6255
_cell_angle_alpha 90.00
_cell_angle_beta 90.00
_cell_angle_gamma 90.00
loop_
_atom_site_label
_atom_site_type_symbol
_atom_site_fract_x
_atom_site_fract_y
_atom_site_fract_z
Ba1 Ba 0.0000 0.0000 0.0000
Cu1 Cu 0.0000 0.5000 0.5000
Cl1 Cl 0.5000 0.5000 0.0000
```

# 7
A PBEsol-optimized structure of LaFeTc, computed with SCAN.

Results
density of states at the Fermi level = 12.8 states/eV per cell
energy = -30.647 eV per atom
crystal system = cubic

The structure in CIF format:
```
data_LaFeTc
_chemical_formula_sum 'La4 Fe4 Tc4'
_symmetry_space_group_name_H-M 'F -4 3 m'
_symmetry_Int_Tables_number 216
_symmetry_space_group_name_Hall 'F -4 2 3'
_cell_length_a 6.1333
_cell_length_b 6.1333
_cell_length_c 6.1333
_cell_angle_alpha 90.00
_cell_angle_beta 90.00
_cell_angle_gamma 90.00
loop_
_atom_site_label
_atom_site_type_symbol
_atom_site_fract_x
_atom_site_fract_y
_atom_site_fract_z
La1 La 0.0000 0.0000 0.0000
Fe1 Fe 0.2500 0.2500 0.2500
Tc1 Tc 0.2500 0.2500 0.7500
```

# 8
A PBEsol-optimized structure of Cu2SbC, computed with SCAN.

Results
density of states at the Fermi level = 4.6 states/eV per cell
energy = -18.049 eV per atom
crystal system = cubic
E_form (uncorrected) = 134 kJ per mole of atoms

The structure in CIF format:
```
data_Cu2SbC
_chemical_formula_sum 'Cu8 Sb4 C4'
_symmetry_space_group_name_H-M 'F m -3 m'
_symmetry_Int_Tables_number 225
_symmetry_space_group_name_Hall '-F 4 2 3'
_cell_length_a 6.0226
_cell_length_b 6.0226
_cell_length_c 6.0226
_cell_angle_alpha 90.00
_cell_angle_beta 90.00
_cell_angle_gamma 90.00
loop_
_atom_site_label
_atom_site_type_symbol
_atom_site_fract_x
_atom_site_fract_y
_atom_site_fract_z
Cu1 Cu 0.2500 0.2500 0.2500
Sb1 Sb 0.0000 0.0000 0.0000
C1 C 0.0000 0.0000 0.5000
```

# 9
A PBEsol-optimized structure of CeFeGe3, computed with SCAN.

Results
density of states at the Fermi level = 7.2 states/eV per cell
energy = -24.507 eV per atom
crystal system = tetragonal

The structure in CIF format:
```
data_CeFeGe3
_chemical_formula_sum 'Ce2 Fe2 Ge6'
_symmetry_space_group_name_H-M 'I 4 m m'
_symmetry_Int_Tables_number 107
_symmetry_space_group_name_Hall 'I 4 -2'
_cell_length_a 4.2221
_cell_length_b 4.2221
_cell_length_c 9.7831
_cell_angle_alpha 90.00
_cell_angle_beta 90.00
_cell_angle_gamma 90.00
loop_
_atom_site_label
_atom_site_type_symbol
_atom_site_fract_x
_atom_site_fract_y
_atom_site_fract_z
Ce1 Ce 0.0000 0.0000 0.0000
Fe1 Fe 0.0000 0.0000 0.3285
Ge1 Ge 0.0000 0.0000 0.5562
Ge2 Ge 0.0000 0.5000 0.2373
```

# 10
A PBEsol-optimized structure of NbCOF2, computed with SCAN.

Results
density of states at the Fermi level = 1.7 states/eV per cell
energy = -11.148 eV per atom
crystal system = tetragonal
E_form (uncorrected) = 15 kJ per mole of atoms

The structure in CIF format:
```
data_NbCOF2
_chemical_formula_sum 'Nb1 C1 O1 F2'
_symmetry_space_group_name_H-M 'P 4/m m m'
_symmetry_Int_Tables_number 123
_symmetry_space_group_name_Hall '-P 4 2'
_cell_length_a 4.4227
_cell_length_b 4.4227
_cell_length_c 2.8009
_cell_angle_alpha 90.00
_cell_angle_beta 90.00
_cell_angle_gamma 90.00
loop_
_atom_site_label
_atom_site_type_symbol
_atom_site_fract_x
_atom_site_fract_y
_atom_site_fract_z
Nb1 Nb 0.0000 0.0000 0.0000
C1 C 0.5000 0.5000 0.5000
O1 O 0.5000 0.5000 0.0000
F1 F 0.0000 0.5000 0.5000
```

# 11
A PBEsol-optimized structure of TaOsSe2, computed with SCAN.

Results
density of states at the Fermi level = 7.3 states/eV per cell
energy = -44.455 eV per atom
crystal system = trigonal
E_form (uncorrected) = 19 kJ per mole of atoms
E above lowest polymorph = 261 meV/atom

The structure in CIF format:
```
data_TaOsSe2
_chemical_formula_sum 'Ta3 Os3 Se6'
_symmetry_space_group_name_H-M 'R -3 m'
_symmetry_Int_Tables_number 166
_symmetry_space_group_name_Hall '-R 3 2"'
_cell_length_a 3.0920
_cell_length_b 3.0920
_cell_length_c 25.2294
_cell_angle_alpha 90.00
_cell_angle_beta 90.00
_cell_angle_gamma 120.00
loop_
_atom_site_label
_atom_site_type_symbol
_atom_site_fract_x
_atom_site_fract_y
_atom_site_fract_z
Ta1 Ta 0.0000 0.0000 0.0000
Os1 Os 0.0000 0.0000 0.5000
Se1 Se 0.0000 0.0000 0.4068
```

# 12
A PBEsol-optimized structure of CaMn2Ag, computed with SCAN.

Results
density of states at the Fermi level = 8.0 states/eV per cell
energy = -19.175 eV per atom
crystal system = tetragonal

The structure in CIF format:
```
data_CaMn2Ag
_chemical_formula_sum 'Ca2 Mn4 Ag2'
_symmetry_space_group_name_H-M 'I 4/m m m'
_symmetry_Int_Tables_number 139
_symmetry_space_group_name_Hall '-I 4 2'
_cell_length_a 4.0899
_cell_length_b 4.0899
_cell_length_c 8.6748
_cell_angle_alpha 90.00
_cell_angle_beta 90.00
_cell_angle_gamma 90.00
loop_
_atom_site_label
_atom_site_type_symbol
_atom_site_fract_x
_atom_site_fract_y
_atom_site_fract_z
Ca1 Ca 0.0000 0.0000 0.0000
Mn1 Mn 0.0000 0.5000 0.2500
Ag1 Ag 0.0000 0.0000 0.5000
```

Q: Number 4 is which compound?
A: CaMg2Ag